The following is a DFT calculation (GGA+U) of a relaxed VOsO2 crystal.

## Properties
* total magnetization: 2.8 μB per cell
* total DFT energy (no corrections): -7.561 eV/atom
* ΔE to the lowest computed polymorph: 0.618 eV/atom

Unit cell a=6.6412 b=6.6412 c=6.6412 alpha=145.66 beta=145.66 gamma=49.35
Closest atoms and distances in Å follow each position.
Atoms (fractional coordinates):
V: 0.0000 0.0000 0.0000  4 O 2.04
V: 0.7500 0.2500 0.5000  4 O 2.04
Os: 0.2500 0.7500 0.5000  4 O 2.05
Os: 0.5000 0.5000 0.0000  4 O 2.05
O: 0.1223 0.6250 0.9973  2 V 2.04, 2 Os 2.05
O: 0.3750 0.3723 0.4973  2 V 2.04, 2 Os 2.05
O: 0.6277 0.1250 0.0027  2 V 2.04, 2 Os 2.05
O: 0.8750 0.8777 0.5027  2 V 2.04, 2 Os 2.05